Material: KNaRu3
Method: DFT, PBE
State: optimized geometry

Geometry as CIF:
```
data_KNaRu3
_chemical_formula_sum 'K1 Na1 Ru3'
_cell_length_a 4.858
_cell_length_b 4.858
_cell_length_c 4.858
_cell_angle_alpha 90.00
_cell_angle_beta 90.00
_cell_angle_gamma 90.00
_symmetry_space_group_name_H-M 'P m -3 m'
_symmetry_Int_Tables_number 221
_symmetry_space_group_name_Hall '-P 4 2 3'
loop_
_atom_site_label
_atom_site_type_symbol
_atom_site_fract_x
_atom_site_fract_y
_atom_site_fract_z
K1 K 0.000 0.000 0.000
Na1 Na 0.500 0.500 0.500
Ru1 Ru 0.000 0.000 0.500
```

Calculated values
Density of states at the Fermi level ... 6.2 states/eV/f.u.
Total DFT energy (no corrections) ... -16.6 eV per formula unit